An optimized crystal structure of KAuSe2Br, computed with PBE.

a b c (Å): 5.1528 5.1528 5.5812
angles (deg): 90.00 90.00 90.00
Atoms (fractional coordinates):
Br (0.0000, 0.0000, 0.5000)
Se (0.5000, 0.0000, 0.0000)
Se (0.0000, 0.5000, 0.0000)
Au (0.0000, 0.0000, 0.0000)
K (0.5000, 0.5000, 0.5000)

## Properties
Spin magnetization = 0.0 μB/f.u.
Polymorph energy (0 for the lowest one) = 0.00 eV/f.u.
ΔE_f (raw) = -251.5 meV/atom
DOS at the Fermi energy = 7.3 states/eV/cell
Symmetry = No. 123